Arrangement P

Computed, not measured: a relaxed structure of LiPOF2 at the PBE-GGA level of DFT.

a b c (Å): 3.413 3.413 4.030
angles (deg): 90.00 90.00 90.00
Space group P4/mmm (No. 123)
Symmetry-distinct sites (fractional):
Li1 0.000 0.000 0.000 (multiplicity 1)
P1 0.500 0.500 0.500 (multiplicity 1)
O1 0.000 0.000 0.500 (multiplicity 1)
F1 0.000 0.500 0.000 (multiplicity 2)

Values from the calculation:
* mass density: 3.25 g/cm3
* magnetic moment: 0.00 μB per cell

Arrangement Q

Computed, not measured: a relaxed structure of LiPOF2 at the PBE-GGA level of DFT.

a b c (Å): 4.267 4.267 3.548
angles (deg): 90.00 90.00 90.00
Space group P4/mmm (No. 123)
Symmetry-distinct sites (fractional):
Li1 0.000 0.000 0.000 (multiplicity 1)
P1 0.500 0.500 0.500 (multiplicity 1)
O1 0.500 0.500 0.000 (multiplicity 1)
F1 0.000 0.500 0.500 (multiplicity 2)

Values from the calculation:
* mass density: 2.36 g/cm3
* magnetic moment: 0.00 μB per cell

In order of decreasing stability: arrangement Q, arrangement P.